Entry 1:
Here is a geometry-optimized Sm5AsSe4 structure from Alexandria. Energies are from PBE-GGA.

Structure (extended XYZ):
```
10
Lattice="-2.818 -1.498 2.700 0.725 -3.874 -1.392 11.672 1.023 9.511" Properties=species:S:1:pos:R:3 pbc="T T T"
Sm 7.504 -4.024 8.833
Se 8.482 -1.328 8.113
Sm 2.076 -0.325 1.986
Se 1.099 -3.022 2.706
Sm 6.338 -0.992 6.063
Sm -1.046 -2.686 0.654
Se 5.358 -3.689 6.780
Sm 3.242 -3.357 4.756
Se 4.222 -0.661 4.039
As 0.000 0.000 0.000
```

Results
Formation energy (no corrections) ... -1.784 eV per atom
DFT total energy ... -6.0020 eV per atom
DOS(E_F) ... 0.477 states/eV per atom

Entry 2:
Here is a geometry-optimized Sm6AsSe12 structure from Alexandria. Energies are from PBE-GGA.

Structure (extended XYZ):
```
19
Lattice="8.224 0.041 0.049 -1.206 8.135 0.049 -1.206 -1.405 8.013" Properties=species:S:1:pos:R:3 pbc="T T T"
Se 5.518 4.061 3.455
Se -1.264 7.556 2.693
Sm -0.043 4.786 2.579
Se -1.849 4.102 7.732
Se 2.634 4.456 1.522
Se 7.660 2.669 0.380
Se 3.177 2.315 6.590
Sm 4.142 6.558 2.941
Sm 4.737 2.415 1.133
Se 1.806 5.860 4.613
Sm 1.669 0.213 5.170
Se 1.476 -1.052 7.916
Se 4.005 0.911 3.498
Se 0.293 2.710 4.656
As 0.000 0.000 0.000
Se 7.075 -0.785 5.418
Sm 1.074 4.355 6.978
Se 4.335 7.823 0.195
Sm 5.855 1.985 5.532
```

Results
Formation energy (no corrections) ... -1.420 eV per atom
DFT total energy ... -5.3554 eV per atom
DOS(E_F) ... 0.712 states/eV per atom

Entry 3:
Here is a geometry-optimized Sm7As5Se structure from Alexandria. Energies are from PBE-GGA.

Structure (extended XYZ):
```
26
Lattice="-1.192 -3.589 1.762 7.228 -0.078 -0.207 0.734 10.670 22.236" Properties=species:S:1:pos:R:3 pbc="T T T"
Sm 1.609 6.119 13.557
As 2.839 3.483 13.959
Sm 4.276 5.787 19.625
Sm 1.822 9.228 20.036
As 0.368 5.334 11.117
As 6.506 5.183 14.963
Sm 1.568 2.646 11.393
As 0.269 1.819 8.828
Sm 4.169 4.217 16.355
Sm 6.240 0.957 6.174
As 0.006 -0.001 0.001
As 3.682 -0.229 2.025
As 0.122 -0.416 4.177
As 3.935 3.519 9.833
Sm 2.606 2.784 7.437
Se 3.557 -0.241 6.857
As 6.658 7.415 19.615
Se 3.221 7.243 16.938
Sm 5.205 4.356 12.397
Sm 4.959 -2.229 3.756
Sm 5.521 8.931 21.934
Sm 1.260 -1.931 1.858
Sm 2.503 1.213 4.167
Sm 5.164 0.881 10.232
Sm 0.537 6.043 17.617
As 3.098 7.229 21.767
```

Results
Formation energy (no corrections) ... -1.422 eV per atom
DFT total energy ... -6.0193 eV per atom
DOS(E_F) ... 0.449 states/eV per atom